# 1
Computed, not measured: an optimized crystal structure of InIr3Os at the GGA-PBEsol level of DFT.

a = 4.700 Å, b = 4.700 Å, c = 4.700 Å
α = 90.00°, β = 90.00°, γ = 90.00°
Sites, in units of the cell vectors:
Os 0.500 0.500 0.500
Ir 0.500 0.000 0.000
Ir 0.000 0.500 0.000
Ir 0.000 0.000 0.500
In 0.000 0.000 0.000

Calculated values
ΔE_f in eV/atom: 2.95
Space-group type: Pm-3m, No. 221
Calculated total energy in eV for the cell shown: -29.92
D(E_F) in states/eV per atom: 1.18

***

# 2
Computed, not measured: an optimized crystal structure of InIrOs2 at the GGA-PBEsol level of DFT.

a = 2.784 Å, b = 4.689 Å, c = 5.514 Å
α = 115.16°, β = 104.62°, γ = 90.00°
Sites, in units of the cell vectors:
Os 0.006 0.006 0.011
Os 0.730 0.230 0.460
Ir 0.266 0.766 0.532
In 0.499 0.499 0.997

Calculated values
ΔE_f in eV/atom: 0.55
Space-group type: Imm2, No. 44
Calculated total energy in eV for the cell shown: -35.03
D(E_F) in states/eV per atom: 0.94

***

# 3
Computed, not measured: an optimized crystal structure of InIrOs2 at the GGA-PBEsol level of DFT.

a = 3.896 Å, b = 3.896 Å, c = 4.844 Å
α = 113.71°, β = 113.71°, γ = 90.00°
Sites, in units of the cell vectors:
Ir 0.000 0.000 0.000
Os 0.750 0.250 0.500
Os 0.250 0.750 0.500
In 0.500 0.500 0.000

Calculated values
ΔE_f in eV/atom: 0.43
Space-group type: I4/mmm, No. 139
Calculated total energy in eV for the cell shown: -35.52
D(E_F) in states/eV per atom: 0.90

***

# 4
Computed, not measured: an optimized crystal structure of InIrOs2 at the GGA-PBEsol level of DFT.

a = 2.795 Å, b = 2.795 Å, c = 9.138 Å
α = 81.20°, β = 81.20°, γ = 60.00°
Sites, in units of the cell vectors:
Os 0.001 0.001 0.996
Os 0.745 0.745 0.765
Ir 0.254 0.254 0.239
In 0.500 0.500 0.499

Calculated values
ΔE_f in eV/atom: 0.29
Space-group type: R3m, No. 160
Calculated total energy in eV for the cell shown: -36.10
D(E_F) in states/eV per atom: 0.89

***

# 5
Computed, not measured: an optimized crystal structure of InPIr2 at the GGA-PBEsol level of DFT.

a = 3.475 Å, b = 4.166 Å, c = 4.166 Å
α = 90.00°, β = 90.00°, γ = 90.00°
Sites, in units of the cell vectors:
P 0.500 0.500 0.500
Ir 0.000 0.000 0.500
Ir 0.000 0.500 0.000
In 0.500 0.000 0.000

Calculated values
ΔE_f in eV/atom: 0.18
Space-group type: P4/mmm, No. 123
Calculated total energy in eV for the cell shown: -27.71
D(E_F) in states/eV per atom: 0.49

***

# 6
Computed, not measured: an optimized crystal structure of InP2Ir at the GGA-PBEsol level of DFT.

a = 2.907 Å, b = 4.633 Å, c = 4.730 Å
α = 90.00°, β = 90.00°, γ = 90.00°
Sites, in units of the cell vectors:
In 0.500 0.000 0.500
P 0.500 0.500 0.000
P 0.000 0.000 0.000
Ir 0.000 0.500 0.500

Calculated values
ΔE_f in eV/atom: 0.47
Space-group type: Pmmm, No. 47
Calculated total energy in eV for the cell shown: -22.50
D(E_F) in states/eV per atom: 0.48

***

# 7
Computed, not measured: an optimized crystal structure of InIrPb3 at the GGA-PBEsol level of DFT.

a = 5.269 Å, b = 5.269 Å, c = 5.269 Å
α = 90.00°, β = 90.00°, γ = 90.00°
Sites, in units of the cell vectors:
Pb 0.500 0.000 0.000
Pb 0.000 0.500 0.000
Pb 0.000 0.000 0.500
In 0.500 0.500 0.500
Ir 0.000 0.000 0.000

Calculated values
ΔE_f in eV/atom: 0.33
Space-group type: Pm-3m, No. 221
Calculated total energy in eV for the cell shown: -23.17
D(E_F) in states/eV per atom: 0.57

***

# 8
Computed, not measured: an optimized crystal structure of InIr2Pb at the GGA-PBEsol level of DFT.

a = 3.101 Å, b = 4.674 Å, c = 5.349 Å
α = 100.69°, β = 90.00°, γ = 109.37°
Sites, in units of the cell vectors:
Pb 0.500 0.000 0.000
Ir 0.254 0.508 0.261
Ir 0.746 0.492 0.739
In 0.000 0.000 0.500

Calculated values
ΔE_f in eV/atom: 0.38
Space-group type: C2/m, No. 12
Calculated total energy in eV for the cell shown: -25.10
D(E_F) in states/eV per atom: 0.65

***

# 9
Computed, not measured: an optimized crystal structure of InIr2Pb at the GGA-PBEsol level of DFT.

a = 2.918 Å, b = 4.677 Å, c = 6.118 Å
α = 112.47°, β = 103.80°, γ = 90.00°
Sites, in units of the cell vectors:
Ir 0.269 0.769 0.538
Ir 0.974 0.974 0.947
Pb 0.530 0.530 0.061
In 0.727 0.227 0.454

Calculated values
ΔE_f in eV/atom: 0.35
Space-group type: Imm2, No. 44
Calculated total energy in eV for the cell shown: -25.21
D(E_F) in states/eV per atom: 0.73

***

# 10
Computed, not measured: an optimized crystal structure of InIr2PbS at the GGA-PBEsol level of DFT.

a = 4.848 Å, b = 4.848 Å, c = 5.549 Å
α = 90.00°, β = 90.00°, γ = 90.00°
Sites, in units of the cell vectors:
S 0.500 0.500 0.500
Ir 0.000 0.500 0.000
Ir 0.500 0.000 0.000
In 0.000 0.000 0.000
Pb 0.000 0.000 0.500

Calculated values
Raw formation energy in meV per atom: 1875.4
Space-group type: P4/mmm, No. 123
Calculated total energy in eV for the cell shown: -21.64
D(E_F) in states/eV per atom: 1.16

***

# 11
Computed, not measured: an optimized crystal structure of InTeIrPd2 at the GGA-PBEsol level of DFT.

a = 4.752 Å, b = 4.752 Å, c = 5.312 Å
α = 90.00°, β = 90.00°, γ = 90.00°
Sites, in units of the cell vectors:
Ir 0.500 0.500 0.500
Pd 0.000 0.500 0.000
Pd 0.500 0.000 0.000
In 0.000 0.000 0.000
Te 0.000 0.000 0.500

Calculated values
Raw formation energy in meV per atom: 1565.1
Space-group type: P4/mmm, No. 123
Calculated total energy in eV for the cell shown: -20.42
D(E_F) in states/eV per atom: 1.36

***

# 12
Computed, not measured: an optimized crystal structure of PrIn5Ir at the GGA-PBEsol level of DFT.

a = 4.640 Å, b = 4.640 Å, c = 7.492 Å
α = 90.00°, β = 90.00°, γ = 90.00°
Sites, in units of the cell vectors:
Pr 0.000 0.000 0.000
In 0.500 0.000 0.304
In 0.500 0.000 0.696
In 0.000 0.500 0.304
In 0.500 0.500 0.000
In 0.000 0.500 0.696
Ir 0.000 0.000 0.500

Calculated values
ΔE_f in eV/atom: -0.44
Space-group type: P4/mmm, No. 123
Calculated total energy in eV for the cell shown: -32.99
D(E_F) in states/eV per atom: 0.31

***

# 13
Computed, not measured: an optimized crystal structure of PrIn2Ir at the GGA-PBEsol level of DFT.

a = 4.375 Å, b = 5.611 Å, c = 7.886 Å
α = 90.00°, β = 90.00°, γ = 112.95°
Sites, in units of the cell vectors:
Ir 0.283 0.565 0.750
Ir 0.717 0.435 0.250
In 0.145 0.290 0.051
In 0.145 0.290 0.449
In 0.855 0.710 0.949
In 0.855 0.710 0.551
Pr 0.430 0.860 0.250
Pr 0.570 0.140 0.750

Calculated values
ΔE_f in eV/atom: -0.55
Space-group type: Cmcm, No. 63
Calculated total energy in eV for the cell shown: -46.31
D(E_F) in states/eV per atom: 0.63

***

# 14
Computed, not measured: an optimized crystal structure of InIrPt2 at the GGA-PBEsol level of DFT.

a = 3.922 Å, b = 3.922 Å, c = 4.063 Å
α = 90.00°, β = 90.00°, γ = 90.00°
Sites, in units of the cell vectors:
Pt 0.500 0.000 0.000
Pt 0.000 0.500 0.000
In 0.500 0.500 0.500
Ir 0.000 0.000 0.500

Calculated values
ΔE_f in eV/atom: -0.17
Space-group type: P4/mmm, No. 123
Calculated total energy in eV for the cell shown: -27.40
D(E_F) in states/eV per atom: 0.69